Entry 1:
LiMg2IrO6: optimized geometry, PBE.

Unit cell a=5.1738 b=5.1738 c=14.0851 alpha=90.00 beta=90.00 gamma=120.00
Space group R3 (No. 146, hexagonal axes)
Unique sites:
Li (0.0000, 0.0000, 0.0000) [3 per cell]
Mg (0.0000, 0.0000, 0.2133) [3 per cell]
Mg (0.0000, 0.0000, 0.7219) [3 per cell]
Ir (0.0000, 0.0000, 0.5237) [3 per cell]
O (0.0306, 0.3426, 0.1189) [9 per cell]
O (0.0414, 0.6693, 0.2766) [9 per cell]

total magnetic moment: 0.189 μB/atom
raw formation energy: -1.59 eV per atom
final energy: -59.61 eV/f.u.
calculated volume: 326.6 Å³ per cell
mass density: 5.2 g/cm³

Entry 2:
Li3Mg2IrO6: optimized geometry, PBE.

Unit cell a=5.210 b=9.021 c=5.179 alpha=90.00 beta=109.68 gamma=90.00
Space group C2/m (No. 12)
Unique sites:
Li (0.000, 0.000, 0.000) [2 per cell]
Li (0.000, 0.338, 0.000) [4 per cell]
Mg (0.000, 0.167, 0.500) [4 per cell]
Ir (0.000, 0.500, 0.500) [2 per cell]
O (0.237, 0.340, 0.731) [8 per cell]
O (0.244, 0.500, 0.272) [4 per cell]

total magnetic moment: 0.169 μB/atom
raw formation energy: -1.89 eV per atom
final energy: -70.23 eV/f.u.
calculated volume: 229.2 Å³ per cell
mass density: 5.2 g/cm³

Entry 3:
LiMgIrO4: optimized geometry, PBE.

Unit cell a=6.078 b=6.241 c=8.428 alpha=90.00 beta=90.00 gamma=90.00
Space group Imma (No. 74)
Unique sites:
Li (0.000, 0.250, 0.138) [4 per cell]
Mg (0.250, 0.250, 0.750) [4 per cell]
Ir (0.000, 0.000, 0.500) [4 per cell]
O (0.000, 0.021, 0.729) [8 per cell]
O (0.216, 0.250, 0.500) [8 per cell]

total magnetic moment: 0.281 μB/atom
raw formation energy: -1.57 eV per atom
final energy: -43.16 eV/f.u.
calculated volume: 319.7 Å³ per cell
mass density: 6.0 g/cm³

Entry 4:
Li2MgIrO4: optimized geometry, PBE.

Unit cell a=5.125 b=3.098 c=5.138 alpha=90.00 beta=108.80 gamma=90.00
Space group P2/m (No. 10)
Unique sites:
Li (0.000, 0.000, 0.000) [1 per cell]
Li (0.000, 0.500, 0.500) [1 per cell]
Mg (0.500, 0.000, 0.500) [1 per cell]
Ir (0.500, 0.500, 0.000) [1 per cell]
O (0.267, 0.500, 0.256) [2 per cell]
O (0.274, 0.000, 0.773) [2 per cell]

total magnetic moment: 0.100 μB/atom
raw formation energy: -1.69 eV per atom
final energy: -47.62 eV/f.u.
calculated volume: 77.2 Å³ per cell
mass density: 6.3 g/cm³

Entry 5:
LiMgPIr2: optimized geometry, PBE.

Unit cell a=4.573 b=4.573 c=4.091 alpha=90.00 beta=90.00 gamma=90.00
Space group P4/mmm (No. 123)
Unique sites:
Li (0.000, 0.000, 0.000) [1 per cell]
Mg (0.000, 0.000, 0.500) [1 per cell]
P (0.500, 0.500, 0.000) [1 per cell]
Ir (0.000, 0.500, 0.500) [2 per cell]

energy of formation from the pure elements: 6.063 eV per formula unit
total magnetic moment: 0.000 μB/atom
final energy: -20.58 eV/f.u.
energy above the most stable polymorph in this dataset: 128.9 kJ/mol of atoms
calculated volume: 85.6 Å³ per cell
mass density: 8.7 g/cm³

Entry 6:
LiMgPIr2: optimized geometry, PBE.

Unit cell a=4.405 b=4.405 c=4.386 alpha=90.00 beta=90.00 gamma=90.00
Space group P4/mmm (No. 123)
Unique sites:
Li (0.000, 0.000, 0.000) [1 per cell]
Mg (0.500, 0.500, 0.000) [1 per cell]
P (0.000, 0.000, 0.500) [1 per cell]
Ir (0.000, 0.500, 0.500) [2 per cell]

energy of formation from the pure elements: -0.616 eV per formula unit
total magnetic moment: 0.000 μB/atom
final energy: -27.26 eV/f.u.
energy above the most stable polymorph in this dataset: 0.0 kJ/mol of atoms
calculated volume: 85.1 Å³ per cell
mass density: 8.7 g/cm³

Entry 7:
LiMgIrPd: optimized geometry, PBE.

Unit cell a=6.125 b=6.125 c=6.125 alpha=90.00 beta=90.00 gamma=90.00
Space group F-43m (No. 216)
Unique sites:
Li (0.000, 0.000, 0.000) [4 per cell]
Mg (0.000, 0.000, 0.500) [4 per cell]
Ir (0.250, 0.250, 0.250) [4 per cell]
Pd (0.250, 0.250, 0.750) [4 per cell]

energy of formation from the pure elements: -1.045 eV per formula unit
total magnetic moment: 0.000 μB/atom
final energy: -18.61 eV/f.u.
calculated volume: 229.8 Å³ per cell
mass density: 9.5 g/cm³

Entry 8:
Rb2LiMgIr: optimized geometry, PBE.

Unit cell a=6.676 b=6.676 c=5.282 alpha=90.00 beta=90.00 gamma=90.00
Space group P4/mmm (No. 123)
Unique sites:
Rb (0.000, 0.500, 0.000) [2 per cell]
Li (0.000, 0.000, 0.500) [1 per cell]
Mg (0.000, 0.000, 0.000) [1 per cell]
Ir (0.500, 0.500, 0.500) [1 per cell]

energy of formation from the pure elements: 6.206 eV per formula unit
total magnetic moment: 0.290 μB/atom
final energy: -8.10 eV/f.u.
calculated volume: 235.4 Å³ per cell
mass density: 2.8 g/cm³

Entry 9:
LiMgReIr: optimized geometry, PBE.

Unit cell a=6.124 b=6.124 c=6.124 alpha=90.00 beta=90.00 gamma=90.00
Space group F-43m (No. 216)
Unique sites:
Li (0.000, 0.000, 0.000) [4 per cell]
Mg (0.250, 0.250, 0.250) [4 per cell]
Re (0.250, 0.250, 0.750) [4 per cell]
Ir (0.000, 0.000, 0.500) [4 per cell]

energy of formation from the pure elements: -0.132 eV per formula unit
total magnetic moment: 0.000 μB/atom
final energy: -24.95 eV/f.u.
calculated volume: 229.7 Å³ per cell
mass density: 11.8 g/cm³

Entry 10:
LiMgIrRu: optimized geometry, PBE.

Unit cell a=6.124 b=6.124 c=6.124 alpha=90.00 beta=90.00 gamma=90.00
Space group F-43m (No. 216)
Unique sites:
Li (0.000, 0.000, 0.000) [4 per cell]
Mg (0.250, 0.250, 0.750) [4 per cell]
Ir (0.000, 0.000, 0.500) [4 per cell]
Ru (0.250, 0.250, 0.250) [4 per cell]

energy of formation from the pure elements: -0.282 eV per formula unit
total magnetic moment: 0.000 μB/atom
final energy: -21.93 eV/f.u.
calculated volume: 229.6 Å³ per cell
mass density: 9.4 g/cm³

Entry 11:
LiMgIr2S: optimized geometry, PBE.

Unit cell a=4.317 b=4.317 c=4.046 alpha=90.00 beta=90.00 gamma=90.00
Space group P4/mmm (No. 123)
Unique sites:
Li (0.000, 0.000, 0.000) [1 per cell]
Mg (0.500, 0.500, 0.500) [1 per cell]
Ir (0.000, 0.500, 0.000) [2 per cell]
S (0.000, 0.000, 0.500) [1 per cell]

total magnetic moment: 0.000 μB/atom
raw formation energy: 0.61 eV per atom
final energy: -22.28 eV/f.u.
calculated volume: 75.4 Å³ per cell
mass density: 9.9 g/cm³

Entry 12:
Sr2LiMgIr: optimized geometry, PBE.

Unit cell a=5.832 b=5.832 c=5.125 alpha=90.00 beta=90.00 gamma=90.00
Space group P4/mmm (No. 123)
Unique sites:
Sr (0.000, 0.500, 0.000) [2 per cell]
Li (0.000, 0.000, 0.500) [1 per cell]
Mg (0.500, 0.500, 0.500) [1 per cell]
Ir (0.500, 0.500, 0.000) [1 per cell]

energy of formation from the pure elements: -0.269 eV per formula unit
total magnetic moment: 0.000 μB/atom
final energy: -16.00 eV/f.u.
calculated volume: 174.4 Å³ per cell
mass density: 3.8 g/cm³